Arrangement w

A plane-wave DFT calculation with PBE was carried out for crystalline La3Tb2Tl4 at its relaxed geometry.

Geometry as POSCAR:
```
La3Tb2Tl4
1.0
-3.979 3.077 -0.602
-1.001 -6.040 -2.945
-1.052 0.642 10.233
Tb Tl La
2 4 3
direct
0.354 0.707 0.686
0.646 0.293 0.314
0.689 0.379 0.034
0.935 0.869 0.598
0.311 0.621 0.966
0.065 0.131 0.402
0.643 0.286 0.689
0.357 0.714 0.311
0.000 0.000 0.000
```

* size of the total moment: 0.00 Bohr magnetons per cell
* space-group type: C2/m, No. 12

=====

Arrangement x

A plane-wave DFT calculation with PBE was carried out for crystalline La3Tb2Tl4 at its relaxed geometry.

Geometry as POSCAR:
```
La3Tb2Tl4
1.0
5.455 0.000 0.000
2.727 4.692 0.602
0.000 -1.336 10.568
La Tl Tb
3 4 2
direct
0.333 0.335 0.423
0.000 0.000 0.000
0.667 0.665 0.577
0.667 0.666 0.897
0.001 0.999 0.659
0.999 0.001 0.341
0.333 0.334 0.103
0.666 0.668 0.218
0.334 0.332 0.782
```

* size of the total moment: 0.00 Bohr magnetons per cell
* space-group type: C2/m, No. 12

=====

It is arrangement w that is the least stable of them.

=====

Arrangement w

A plane-wave DFT calculation with PBE was carried out for crystalline La8Tb2Tl at its relaxed geometry.

Geometry as POSCAR:
```
La8Tb2Tl
1.0
-2.880 -4.580 1.443
8.129 -3.293 5.842
1.567 1.595 8.224
La Tl Tb
8 1 2
direct
0.000 0.252 0.490
0.000 0.742 0.510
0.501 0.701 0.272
0.000 0.662 0.000
0.499 0.292 0.729
0.000 0.332 0.000
0.501 0.973 0.728
0.499 0.021 0.271
0.000 0.997 0.000
0.500 0.376 0.242
0.500 0.618 0.758
```

* size of the total moment: 0.00 Bohr magnetons per cell
* space-group type: Cm, No. 8

=====

Arrangement x

A plane-wave DFT calculation with PBE was carried out for crystalline La8Tb2Tl at its relaxed geometry.

Geometry as POSCAR:
```
La8Tb2Tl
1.0
5.645 0.000 0.000
0.000 8.258 0.031
-2.823 -3.524 8.351
Tb La Tl
2 8 1
direct
0.805 0.345 0.610
0.195 0.655 0.390
0.174 0.217 0.348
0.826 0.783 0.652
0.985 0.248 0.970
0.608 0.437 0.216
0.333 0.089 0.665
0.392 0.563 0.784
0.667 0.911 0.335
0.015 0.752 0.030
0.500 0.000 0.000
```

* size of the total moment: 0.00 Bohr magnetons per cell
* space-group type: C2/m, No. 12

=====

It is arrangement w that is the least stable of them.

=====

Arrangement w

A plane-wave DFT calculation with PBE was carried out for crystalline La2Tb3Tl at its relaxed geometry.

Geometry as POSCAR:
```
La2Tb3Tl
1.0
6.376 0.000 0.000
0.000 7.006 0.702
-3.189 -0.879 8.772
Tb La Tl
6 4 2
direct
0.329 0.750 0.000
0.865 0.500 0.730
0.671 0.250 0.000
0.135 0.500 0.270
0.135 0.000 0.270
0.865 0.000 0.730
0.713 0.750 0.366
0.652 0.250 0.366
0.348 0.750 0.634
0.287 0.250 0.634
0.808 0.750 0.000
0.192 0.250 0.000
```

* size of the total moment: 0.00 Bohr magnetons per cell
* space-group type: Cmcm, No. 63

=====

Arrangement x

A plane-wave DFT calculation with PBE was carried out for crystalline La2Tb3Tl at its relaxed geometry.

Geometry as POSCAR:
```
La2Tb3Tl
1.0
-3.844 -2.274 -2.264
2.684 -4.124 -0.415
-3.950 -0.321 7.029
Tb Tl La
3 1 2
direct
0.500 0.162 0.324
0.500 0.838 0.676
0.500 0.500 0.000
0.000 0.000 0.000
0.000 0.665 0.330
0.000 0.335 0.670
```

* size of the total moment: 0.00 Bohr magnetons per cell
* space-group type: Cmmm, No. 65

=====

It is arrangement w that is the least stable of them.

=====

Arrangement w

A plane-wave DFT calculation with PBE was carried out for crystalline LaTb4Tl at its relaxed geometry.

Geometry as POSCAR:
```
LaTb4Tl
1.0
-3.120 -0.476 1.828
1.840 -1.564 2.733
1.673 12.771 6.180
Tb Tl La
4 1 1
direct
0.000 0.000 0.354
0.000 0.000 0.646
0.500 0.500 0.819
0.500 0.500 0.181
0.500 0.500 0.500
0.000 0.000 0.000
```

* size of the total moment: 0.00 Bohr magnetons per cell
* space-group type: P4/mmm, No. 123

=====

Arrangement x

A plane-wave DFT calculation with PBE was carried out for crystalline LaTb4Tl at its relaxed geometry.

Geometry as POSCAR:
```
LaTb4Tl
1.0
-1.639 -2.222 4.898
7.316 0.314 2.591
-0.626 9.053 0.671
Tb Tl La
8 2 2
direct
0.352 0.734 0.705
0.483 0.439 0.967
0.517 0.939 0.033
0.648 0.234 0.295
0.170 0.943 0.340
0.991 0.685 0.983
0.009 0.185 0.017
0.830 0.443 0.660
0.658 0.679 0.315
0.342 0.179 0.685
0.818 0.953 0.637
0.182 0.453 0.363
```

* size of the total moment: 0.00 Bohr magnetons per cell
* space-group type: Cmc2_1, No. 36

=====

It is arrangement x that is the least stable of them.

=====

Arrangement w

A plane-wave DFT calculation with PBE was carried out for crystalline LaTb2Tl2 at its relaxed geometry.

Geometry as POSCAR:
```
LaTb2Tl2
1.0
5.220 0.000 0.000
-2.610 4.521 0.000
0.000 0.000 12.984
Tb La Tl
4 2 4
direct
0.333 0.667 0.250
0.000 0.000 0.500
0.667 0.333 0.750
0.000 0.000 0.000
0.000 0.000 0.250
0.000 0.000 0.750
0.333 0.667 0.625
0.667 0.333 0.375
0.333 0.667 0.875
0.667 0.333 0.125
```

* size of the total moment: 0.33 Bohr magnetons per cell
* space-group type: P6_3/mmc, No. 194

=====

Arrangement x

A plane-wave DFT calculation with PBE was carried out for crystalline LaTb2Tl2 at its relaxed geometry.

Geometry as POSCAR:
```
LaTb2Tl2
1.0
-4.045 5.532 1.893
-7.296 4.449 -1.889
-6.501 -2.307 6.254
Tb Tl La
4 4 2
direct
0.703 0.250 0.599
0.297 0.750 0.401
0.482 0.749 0.035
0.518 0.251 0.965
0.345 0.750 0.751
0.093 0.250 0.245
0.907 0.750 0.755
0.655 0.250 0.249
0.835 0.750 0.325
0.165 0.250 0.675
```

* size of the total moment: 0.00 Bohr magnetons per cell
* space-group type: P2_1/m, No. 11

=====

It is arrangement w that is the least stable of them.

=====

Arrangement w

A plane-wave DFT calculation with PBE was carried out for crystalline La2TbTl2 at its relaxed geometry.

Geometry as POSCAR:
```
La2TbTl2
1.0
-2.773 1.260 4.017
-5.998 -1.640 -0.463
-1.083 -4.741 3.903
La Tb Tl
2 1 2
direct
0.815 0.685 0.685
0.185 0.315 0.315
0.000 0.000 0.000
0.500 0.276 0.724
0.500 0.724 0.276
```

* size of the total moment: 0.00 Bohr magnetons per cell
* space-group type: Immm, No. 71

=====

Arrangement x

A plane-wave DFT calculation with PBE was carried out for crystalline La2TbTl2 at its relaxed geometry.

Geometry as POSCAR:
```
La2TbTl2
1.0
4.767 0.000 0.000
0.000 8.299 0.000
0.000 0.000 8.299
Tl La Tb
4 4 2
direct
0.000 0.131 0.369
0.000 0.369 0.869
0.000 0.631 0.131
0.000 0.869 0.631
0.500 0.831 0.331
0.500 0.331 0.169
0.500 0.169 0.669
0.500 0.669 0.831
0.000 0.500 0.500
0.000 0.000 0.000
```

* size of the total moment: 0.00 Bohr magnetons per cell
* space-group type: P4/mbm, No. 127

=====

It is arrangement w that is the least stable of them.